Here is a relaxed structure of TbSm5YEr2 from the Alexandria database. Energies are from PBE-GGA.

a b c (Å): 5.6320 20.2644 10.6023
angles (deg): 90.00 90.00 90.00
Last column: nearest neighbours and their distance in Å.
Space group Cmc2_1 (No. 36)
Asymmetric unit:
Tb  0.0000  0.1993  0.0000 (multiplicity 4)  2 Er 3.40-3.64, 7 Sm 3.50-3.80, 2 Y 3.63
Sm  0.0000  0.0162  0.0085 (multiplicity 4)  2 Y 3.26, 3 Er 3.43-3.57
Sm  0.0000  0.2794  0.2995 (multiplicity 4)  1 Y 3.06, 1 Er 3.34, 2 Sm 3.41
Sm  0.0000  0.2987  0.6961 (multiplicity 4)  4 Sm 3.41-3.81, 1 Y 3.48, 3 Tb 3.50-3.80, 3 Er 3.51-3.80
Sm  0.0000  0.3883  0.0120 (multiplicity 4)  6 Sm 3.52-3.83, 4 Er 3.59-3.61, 1 Tb 3.83
Sm  0.0000  0.4802  0.7301 (multiplicity 4)  2 Y 3.19-3.34, 2 Er 3.49, 2 Sm 3.52-3.53
Y  0.0000  0.4098  0.4455 (multiplicity 4)  5 Sm 3.06-3.34
Er  0.0000  0.1119  0.7258 (multiplicity 4)  1 Tb 3.40, 7 Sm 3.47-3.80, 2 Y 3.68
Er  0.0000  0.1145  0.3024 (multiplicity 4)  9 Sm 3.34-3.70, 1 Tb 3.64

Results
- Magnetization: 0.00 Bohr magnetons per cell
- E_form: 14.9 kJ/mol of atoms
- N(E_F): 59.6 states/eV/cell
- Calculated volume: 33.61 Å³/atom